{
  "formula": "TaAlB2Pt",
  "functional": "GGA-PBE",
  "state": "relaxed",
  "lattice_angstrom": [[-0.589, -2.324, 3.216], [-2.452, -3.301, -2.834], [3.444, -1.913, -0.752]],
  "species": ["Al", "Ta", "Pt", "B", "B"],
  "frac_coords": [[0.000, 0.500, 0.000], [0.500, 0.500, 0.500], [0.000, 0.000, 0.000], [0.500, 0.000, 0.000], [0.000, 0.000, 0.500]],
  "n_ef_per_ev_cell": 3.0,
  "mass_density_g_cm3": 8.8,
  "ef_mev_per_atom": 1065
}

{
  "formula": "Tb3AlB2Pt8",
  "functional": "GGA-PBE",
  "state": "relaxed",
  "lattice_angstrom": [[-2.529, 3.269, 3.595], [-1.730, -5.149, -0.708], [5.890, -2.914, 6.794]],
  "species": ["B", "Pt", "Pt", "Pt", "Pt", "Tb", "Pt", "Tb", "Pt", "Pt", "Pt", "B", "Tb", "Al"],
  "frac_coords": [[0.667, 0.333, 0.869], [0.833, 0.167, 0.717], [0.167, 0.833, 0.283], [0.833, 0.667, 0.717], [0.167, 0.333, 0.283], [0.000, 0.000, 0.000], [0.667, 0.833, 0.283], [0.333, 0.667, 0.588], [0.667, 0.333, 0.078], [0.333, 0.667, 0.922], [0.333, 0.167, 0.717], [0.333, 0.667, 0.131], [0.667, 0.333, 0.412], [0.000, 0.000, 0.500]],
  "n_ef_per_ev_cell": 6.7,
  "mass_density_g_cm3": 14.1,
  "ef_mev_per_atom": -813
}

{
  "formula": "Tb2AlBPt6",
  "functional": "GGA-PBE",
  "state": "relaxed",
  "lattice_angstrom": [[-2.287, -0.397, -5.187], [-4.969, -4.718, 2.552], [-5.295, 6.568, 1.832]],
  "species": ["Pt", "Pt", "Pt", "Pt", "Pt", "Pt", "B", "Pt", "Pt", "B", "Al", "Pt", "Pt", "Pt", "Tb", "Tb", "Tb", "Tb", "Pt", "Al"],
  "frac_coords": [[0.500, 0.147, 0.255], [0.751, 0.593, 0.000], [0.260, 0.016, 0.000], [0.740, 0.016, 0.000], [0.000, 0.853, 0.245], [0.749, 0.407, 0.500], [0.000, 0.808, 0.000], [0.760, 0.984, 0.500], [0.251, 0.407, 0.500], [0.500, 0.192, 0.500], [0.000, 0.681, 0.500], [0.500, 0.147, 0.745], [0.240, 0.984, 0.500], [0.249, 0.593, 0.000], [0.500, 0.712, 0.715], [0.500, 0.712, 0.285], [0.000, 0.288, 0.785], [0.000, 0.288, 0.215], [0.000, 0.853, 0.755], [0.500, 0.319, 0.000]],
  "n_ef_per_ev_cell": 6.1,
  "mass_density_g_cm3": 14.1,
  "ef_mev_per_atom": -965
}

{
  "formula": "AlBTePt2",
  "functional": "GGA-PBE",
  "state": "relaxed",
  "lattice_angstrom": [[-0.942, 4.530, 2.015], [-3.284, -1.718, 2.328], [3.200, -1.011, 3.768]],
  "species": ["Te", "Al", "Pt", "Pt", "B"],
  "frac_coords": [[0.000, 0.000, 0.000], [0.500, 0.500, 0.500], [0.000, 0.000, 0.500], [0.500, 0.000, 0.000], [0.000, 0.500, 0.000]],
  "n_ef_per_ev_cell": 2.7,
  "mass_density_g_cm3": 8.3,
  "raw_formation_energy_ev_per_fu": 5.92
}